# 1
First-principles (PBE-GGA) data for a relaxed structure of BaLa2Cu, as listed in Alexandria.

abc: 6.632 6.632 6.632
angles: 137.44 137.44 61.76
Sites, in units of the cell vectors:
Ba  0.250  0.750  0.500
Cu  0.750  0.250  0.500
La  0.000  0.000  0.000
La  0.500  0.500  0.000

**Calculated density**: 6.03 g/cm3
**Crystal system**: tetragonal
**Excess energy over the best structure of this formula in the dataset**: 0.284 eV per atom
**Calculated volume**: 32.97 A^3/atom



# 2
First-principles (PBE-GGA) data for a relaxed structure of LiSi2P, as listed in Alexandria.

abc: 3.644 3.646 4.338
angles: 90.00 90.00 90.00
Sites, in units of the cell vectors:
Li  0.500  0.000  0.500
P  0.000  0.500  0.500
Si  0.000  0.000  0.000
Si  0.500  0.500  0.000

**Calculated density**: 2.71 g/cm3
**ΔE_f (raw)**: 0.1325 eV per atom
**Crystal system**: tetragonal
**Calculated volume**: 14.41 A^3/atom



# 3
First-principles (PBE-GGA) data for a relaxed structure of ZrReP, as listed in Alexandria.

abc: 3.132 7.051 4.478
angles: 90.00 90.00 90.00
Sites, in units of the cell vectors:
Zr  0.000  0.665  0.500
Zr  0.500  0.335  0.000
Re  0.000  0.964  0.000
Re  0.500  0.036  0.500
P  0.000  0.287  0.500
P  0.500  0.713  0.000

**Calculated density**: 10.36 g/cm3
**Crystal system**: orthorhombic
**VASP energy**: -9.505 eV/atom
**Calculated volume**: 16.48 A^3/atom



# 4
First-principles (PBE-GGA) data for a relaxed structure of SrCuMo2, as listed in Alexandria.

abc: 2.754 2.754 9.490
angles: 90.00 90.00 90.18
Sites, in units of the cell vectors:
Cu  0.500  0.500  0.750
Mo  0.000  0.000  0.953
Mo  0.000  0.000  0.547
Sr  0.500  0.500  0.250

**Calculated density**: 7.92 g/cm3
**Crystal system**: orthorhombic
**Excess energy over the best structure of this formula in the dataset**: 0.354 eV per atom
**Calculated volume**: 17.99 A^3/atom



# 5
First-principles (PBE-GGA) data for a relaxed structure of La2ScTlP, as listed in Alexandria.

abc: 5.604 5.604 4.970
angles: 90.00 90.00 90.00
Sites, in units of the cell vectors:
Sc  0.000  0.000  0.500
P  0.000  0.000  0.000
Tl  0.500  0.500  0.500
La  0.000  0.500  0.000
La  0.500  0.000  0.000

**Calculated density**: 5.94 g/cm3
**Crystal system**: tetragonal
**VASP energy**: -5.460 eV/atom
**Calculated volume**: 31.22 A^3/atom



# 6
First-principles (PBE-GGA) data for a relaxed structure of SrTiSeBr2, as listed in Alexandria.

abc: 5.488 11.845 5.488
angles: 90.00 90.00 90.00
Sites, in units of the cell vectors:
Sr  0.000  0.000  0.000
Se  0.500  0.500  0.500
Br  0.000  0.000  0.500
Br  0.500  0.000  0.000
Ti  0.000  0.500  0.000

**Calculated density**: 1.74 g/cm3
**ΔE_f (raw)**: -0.0514 eV per atom
**Crystal system**: tetragonal
**Excess energy over the best structure of this formula in the dataset**: 1.163 eV per atom
**Calculated volume**: 71.34 A^3/atom